No. 1
This record from the Alexandria database describes a relaxed LiTbHoIn crystal. The functional is GGA-PBE.

Cell: 5.272 5.272 5.272 Å, 60.00 60.00 60.00°
Sites, in units of the cell vectors:
Li  0.250  0.250  0.250
Tb  0.000  0.000  0.000
Ho  0.500  0.500  0.500
In  0.750  0.750  0.750

Computed properties:
Calculated volume in Å³/cell: 103.6
Energy relative to the elements in eV per atom: -0.26
Crystal system: cubic
M_tot in Bohr magnetons per cell: 0.00
Symmetry: F-43m, No. 216
Energy in Ry/atom: -0.274

---

No. 2
This record from the Alexandria database describes a relaxed PrSm3Pd crystal. The functional is GGA-PBE.

Cell: 5.603 5.603 5.603 Å, 90.00 90.00 90.00°
Sites, in units of the cell vectors:
Pr  0.500  0.500  0.500
Pd  0.000  0.000  0.000
Sm  0.000  0.500  0.000
Sm  0.000  0.000  0.500
Sm  0.500  0.000  0.000

Computed properties:
Calculated volume in Å³/cell: 175.9
Energy relative to the elements in eV per atom: -0.11
Crystal system: cubic
M_tot in Bohr magnetons per cell: 0.01
Symmetry: Pm-3m, No. 221
Energy in Ry/atom: -0.363
E above lowest polymorph in eV per atom: 0.198

---

No. 3
This record from the Alexandria database describes a relaxed Cs4TeHI crystal. The functional is GGA-PBE.

Cell: 5.810 5.810 10.962 Å, 105.37 105.37 90.00°
Sites, in units of the cell vectors:
Cs  0.011  0.511  0.022
Cs  0.511  0.011  0.022
Cs  0.824  0.824  0.648
Cs  0.174  0.174  0.348
Te  0.637  0.637  0.275
H  0.978  0.978  0.956
I  0.365  0.365  0.729

Computed properties:
Calculated volume in Å³/cell: 343.0
Crystal system: tetragonal
M_tot in Bohr magnetons per cell: 0.00
Symmetry: I4mm, No. 107
Energy in Ry/atom: -0.188

---

No. 4
This record from the Alexandria database describes a relaxed BeSbW crystal. The functional is GGA-PBE.

Cell: 4.913 4.913 4.913 Å, 140.88 140.88 56.52°
Sites, in units of the cell vectors:
Sb  0.332  0.332  0.000
W  0.650  0.650  0.000
Be  0.018  0.018  0.000

Computed properties:
Calculated volume in Å³/cell: 46.8
Crystal system: tetragonal
M_tot in Bohr magnetons per cell: 0.00
Symmetry: I4mm, No. 107
Energy in Ry/atom: -0.485
E above lowest polymorph in eV per atom: 0.000

---

No. 5
This record from the Alexandria database describes a relaxed Tm2ThZrP4 crystal. The functional is GGA-PBE.

Cell: 3.949 6.843 6.835 Å, 109.41 90.00 90.00°
Sites, in units of the cell vectors:
Tm  0.500  0.000  0.500
Tm  0.000  0.500  0.500
Th  0.500  0.500  0.000
Zr  0.000  0.000  0.000
P  0.500  0.238  0.246
P  0.500  0.762  0.754
P  0.000  0.236  0.745
P  0.000  0.764  0.255

Computed properties:
Calculated volume in Å³/cell: 174.2
Energy relative to the elements in eV per atom: -1.49
Crystal system: monoclinic
M_tot in Bohr magnetons per cell: 0.00
Symmetry: P2/m, No. 10
Energy in Ry/atom: -0.537

---

No. 6
This record from the Alexandria database describes a relaxed MnIn2Re crystal. The functional is GGA-PBE.

Cell: 9.284 9.284 9.284 Å, 18.70 18.70 18.70°
Last column: magnetic moment on the atom in μB.
Sites, in units of the cell vectors:
In  0.000  0.000  0.000  -0.05
In  0.500  0.500  0.500  -0.05
Mn  0.250  0.250  0.250  3.31
Re  0.750  0.750  0.750  -0.27

Computed properties:
Calculated volume in Å³/cell: 71.8
Energy relative to the elements in eV per atom: 0.53
Crystal system: trigonal
M_tot in Bohr magnetons per cell: 3.02
Symmetry: R-3m, No. 166
Energy in Ry/atom: -0.459
E above lowest polymorph in eV per atom: 0.269